# CdInNi2O4 (PBE+U, optimized geometry)
# size of the total moment = 3.013 Bohr magnetons per cell
# uncorrected energy = -4.5406 eV per atom
data_CdInNi2O4
_chemical_formula_sum 'Cd1 In1 Ni2 O4'
_space_group_name_H-M_alt 'P 1 2/m 1'
_space_group_IT_number 10
_cell_length_a 5.573
_cell_length_b 3.108
_cell_length_c 6.018
_cell_angle_alpha 90.00
_cell_angle_beta 113.94
_cell_angle_gamma 90.00
loop_
_space_group_symop_operation_xyz
'x,y,z'
'-x,-y,-z'
'-x,y,-z'
'x,-y,z'
loop_
_atom_site_label
_atom_site_fract_x
_atom_site_fract_y
_atom_site_fract_z
Cd1 0.000 0.000 0.000
In1 0.500 0.500 0.500
Ni1 0.000 0.000 0.500
Ni2 0.500 0.500 0.000
O1 0.080 0.500 0.301
O2 0.421 0.000 0.731